[1]
A geometry-optimized BaFe2PbCl8 structure. Source: Alexandria via LeMat-Bulk, functional GGA-PBE.

a = 7.3636 Å, b = 7.3636 Å, c = 9.0010 Å
α = 90.00°, β = 90.00°, γ = 120.00°
Last column: nearest neighbours and their distance in Å.
Space group P-3m1 (No. 164)
Asymmetric unit:
Ba (0.0000, 0.0000, 0.0000) [1 per cell]  6 Cl 3.21
Fe (0.3333, 0.6667, 0.1875) [2 per cell]  4 Cl 2.22-2.31
Pb (0.0000, 0.0000, 0.5000) [1 per cell]  6 Cl 2.91
Cl (0.1623, 0.3247, 0.2722) [6 per cell]  1 Fe 2.31
Cl (0.3333, 0.6667, 0.9412) [2 per cell]  1 Fe 2.22

Uncorrected formation energy in eV/atom: -1.191
V in Å³/atom: 35.2


[2]
A geometry-optimized KNaGa2 structure. Source: Alexandria via LeMat-Bulk, functional GGA-PBE.

a = 4.9589 Å, b = 4.9589 Å, c = 21.7584 Å
α = 90.00°, β = 90.00°, γ = 90.00°
Last column: nearest neighbours and their distance in Å.
Space group I-42d (No. 122)
Asymmetric unit:
K (0.0000, 0.0000, 0.0000) [4 per cell]  4 Na 3.51, 4 Ga 3.65
Na (0.0000, 0.0000, 0.5000) [4 per cell]  4 Ga 3.01
Ga (0.0772, 0.2500, 0.6250) [8 per cell]  2 Ga 2.59

Excess energy over the best structure of this formula in the dataset in meV/atom: 232
V in Å³/atom: 33.4